1.
VASP calculation (PBE) on ZrAl2Sb2 after structural relaxation.

Unit cell a=7.569 b=7.569 c=3.945 alpha=90.00 beta=90.00 gamma=90.00
Element x y z (fractional)
Al 0.155 0.655 0.500
Sb 0.850 0.650 0.000
Sb 0.350 0.850 0.000
Sb 0.150 0.350 0.000
Sb 0.650 0.150 0.000
Zr 0.000 0.000 0.000
Al 0.845 0.345 0.500
Al 0.345 0.155 0.500
Zr 0.500 0.500 0.000
Al 0.655 0.845 0.500

## Properties
The density of states at the Fermi level is 5.02 states/eV per cell. The value obtained for the energy relative to the elements, uncorrected is -4 meV per atom. As for the space-group type: P4/mbm. For the raw total energy, the calculation gives -4.86 eV/atom.


2.
VASP calculation (PBE) on Er2LuPa after structural relaxation.

Unit cell a=3.502 b=5.711 c=5.711 alpha=90.00 beta=90.00 gamma=90.00
Element x y z (fractional)
Er 0.000 0.500 0.000
Lu 0.500 0.000 0.000
Pa 0.500 0.500 0.500
Er 0.000 0.000 0.500

## Properties
The density of states at the Fermi level is 7.94 states/eV per cell. As for the space-group type: P4/mmm. As for the formation energy: 110 kJ/mol of formula units. For the raw total energy, the calculation gives -5.50 eV/atom.